NbCdTe2O8 | Alexandria via LeMat-Bulk | PBE | optimized geometry; crystal system = monoclinic; density of states at the Fermi level = 5.86 states/eV/f.u.; raw formation energy = -1.384 eV per atom
1.0
3.536 -3.428 0.000
3.536 3.428 0.000
-0.176 0.000 6.863
Nb Cd Te O
1 1 2 8
Cartesian
0.000 0.000 0.000 Nb
-0.088 0.000 3.431 Cd
3.390 0.000 1.716 Te
3.507 0.000 5.146 Te
3.333 2.085 1.494 O
3.563 2.085 5.369 O
2.026 0.000 0.278 O
2.175 0.000 3.221 O
4.722 0.000 3.641 O
4.870 0.000 6.585 O
3.333 -2.085 1.494 O
3.563 -2.085 5.369 O

ThNbCdO6 | Alexandria via LeMat-Bulk | PBE | optimized geometry; crystal system = tetragonal; density of states at the Fermi level = 7.05 states/eV/f.u.; raw formation energy = -2.345 eV per atom
1.0
5.111 0.000 0.000
0.000 5.111 0.000
0.000 0.000 10.308
Th Nb Cd O
2 2 2 12
Cartesian
0.000 0.000 0.000 Th
2.555 2.555 5.154 Th
0.000 0.000 3.398 Nb
2.555 2.555 8.552 Nb
0.000 0.000 6.910 Cd
2.555 2.555 1.756 Cd
0.938 0.938 1.960 O
0.942 0.942 5.018 O
1.126 1.126 8.656 O
1.430 3.681 3.502 O
1.613 3.498 10.172 O
1.618 3.493 7.115 O
3.493 1.618 7.115 O
3.498 1.613 10.172 O
3.681 1.430 3.502 O
3.985 3.985 8.656 O
4.169 4.169 5.018 O
4.173 4.173 1.960 O

Ti2NbCdO | Alexandria via LeMat-Bulk | PBE | optimized geometry; crystal system = tetragonal; density of states at the Fermi level = 5.21 states/eV/f.u.; raw formation energy = -0.886 eV per atom
1.0
4.148 0.000 0.000
0.000 4.148 0.000
0.000 0.000 4.416
Ti Nb Cd O
2 1 1 1
Cartesian
0.000 2.074 0.000 Ti
2.074 0.000 0.000 Ti
0.000 0.000 2.208 Nb
2.074 2.074 2.208 Cd
0.000 0.000 0.000 O

NbTlCdO4 | Alexandria via LeMat-Bulk | PBE | optimized geometry; crystal system = monoclinic; density of states at the Fermi level = 0.00 states/eV/f.u.; raw formation energy = -1.664 eV per atom
1.0
6.416 0.000 0.000
0.000 6.303 0.000
-1.394 0.000 7.146
Nb Tl Cd O
2 2 2 8
Cartesian
0.975 1.576 0.784 Nb
4.047 4.728 6.362 Nb
0.960 4.728 2.959 Tl
4.062 1.576 4.187 Tl
0.961 4.728 6.676 Cd
4.061 1.576 0.471 Cd
-0.795 4.728 5.320 O
-0.893 1.576 6.175 O
2.168 0.098 1.093 O
2.168 3.054 1.093 O
2.854 3.250 6.053 O
2.854 6.206 6.053 O
5.915 4.728 0.971 O
5.817 1.576 1.826 O